Material: ZnAg2TeO6
Method: DFT, PBE-GGA
State: relaxed

Output
ρ	6.8	g/cm3
SG	No. 225
total DFT energy (no corrections)	-4.385	eV/atom

POSCAR file:
```
ZnAg2TeO6
1.0
0.0000 3.9434 3.9434
3.9434 0.0000 3.9434
3.9434 3.9434 0.0000
Te O Ag Zn
1 6 2 1
direct
0.0000 0.0000 0.0000 Te
0.2427 0.7573 0.7573 O
0.7573 0.2427 0.2427 O
0.7573 0.2427 0.7573 O
0.2427 0.2427 0.7573 O
0.2427 0.7573 0.2427 O
0.7573 0.7573 0.2427 O
0.7500 0.7500 0.7500 Ag
0.2500 0.2500 0.2500 Ag
0.5000 0.5000 0.5000 Zn
```


Material: Tl2Ag5O6
Method: DFT, PBE-GGA
State: relaxed

Output
ρ	8.8	g/cm3
SG	No. 162
total DFT energy (no corrections)	-4.031	eV/atom

POSCAR file:
```
Tl2Ag5O6
1.0
-0.1994 5.9198 0.7113
-4.1329 -2.7474 -3.3107
-3.6765 -0.7501 5.2120
Tl Ag O
2 5 6
direct
0.3333 0.6667 0.0000 Tl
0.6667 0.3333 0.0000 Tl
0.0000 0.0000 0.2729 Ag
0.5000 0.0000 0.5000 Ag
0.0000 0.5000 0.5000 Ag
0.0000 0.0000 0.7271 Ag
0.5000 0.5000 0.5000 Ag
0.3678 0.3678 0.1993 O
0.6322 0.0000 0.1993 O
0.0000 0.6322 0.1993 O
0.0000 0.3678 0.8007 O
0.6322 0.6322 0.8007 O
0.3678 0.0000 0.8007 O
```


Material: TlAgO3
Method: DFT, PBE-GGA
State: relaxed

Output
ρ	8.7	g/cm3
SG	No. 99
total DFT energy (no corrections)	-3.940	eV/atom

POSCAR file:
```
TlAgO3
1.0
-2.1609 2.3241 2.4804
-0.8729 -3.2201 2.2567
3.4619 0.7094 2.3513
Tl O Ag
1 3 1
direct
0.0000 0.0000 0.9676 Tl
0.5000 0.0000 0.6413 O
0.5000 0.5000 0.0799 O
0.0000 0.5000 0.6413 O
0.5000 0.5000 0.5699 Ag
```


Material: TlAgO3
Method: DFT, PBE-GGA
State: relaxed

Output
ρ	9.4	g/cm3
SG	No. 62
total DFT energy (no corrections)	-4.232	eV/atom

POSCAR file:
```
TlAgO3
1.0
-4.3122 -2.2800 -2.6305
3.3269 -1.0506 -4.5432
1.9241 -7.1806 3.0695
O Ag Tl
12 4 4
direct
0.1267 0.4244 0.2500 O
0.6920 0.3089 0.0686 O
0.3080 0.6911 0.9314 O
0.6920 0.3089 0.4314 O
0.1920 0.1911 0.5686 O
0.8733 0.5756 0.7500 O
0.3080 0.6911 0.5686 O
0.6267 0.0756 0.7500 O
0.3733 0.9244 0.2500 O
0.1920 0.1911 0.9314 O
0.8080 0.8089 0.4314 O
0.8080 0.8089 0.0686 O
0.0000 0.5000 0.5000 Ag
0.0000 0.5000 0.0000 Ag
0.5000 0.0000 0.5000 Ag
0.5000 0.0000 0.0000 Ag
0.4807 0.4430 0.7500 Tl
0.9807 0.0570 0.2500 Tl
0.5193 0.5570 0.2500 Tl
0.0193 0.9430 0.7500 Tl
```


Material: TlAgO3
Method: DFT, PBE-GGA
State: relaxed

Output
ρ	8.8	g/cm3
SG	No. 148
total DFT energy (no corrections)	-4.178	eV/atom

POSCAR file:
```
TlAgO3
1.0
-2.8438 4.9256 0.0000
2.8438 4.9256 0.0000
0.0000 3.2837 -4.8645
O Ag Tl
6 2 2
direct
0.2302 0.9606 0.2572 O
0.7698 0.0394 0.7428 O
0.5520 0.2303 0.2572 O
0.0394 0.4480 0.7428 O
0.4480 0.7697 0.7428 O
0.9606 0.5520 0.2572 O
0.1504 0.1504 0.5489 Ag
0.8496 0.8496 0.4511 Ag
0.3656 0.3656 0.9032 Tl
0.6344 0.6344 0.0968 Tl
```


Material: Tl2AgO4
Method: DFT, PBE-GGA
State: relaxed

Output
ρ	8.9	g/cm3
SG	No. 227
total DFT energy (no corrections)	-4.295	eV/atom

POSCAR file:
```
Tl2AgO4
1.0
4.7603 -4.7614 0.0000
-4.7603 0.0000 -4.7614
4.7603 4.7614 0.0000
Tl O Ag
4 8 2
direct
0.3750 0.7500 0.1250 Tl
0.3750 0.7500 0.6250 Tl
0.3750 0.2500 0.6250 Tl
0.8750 0.2500 0.6250 Tl
0.1347 0.7304 0.8651 O
0.1544 0.7696 0.3847 O
0.6151 0.2304 0.3847 O
0.5956 0.7304 0.8653 O
0.6153 0.7696 0.3849 O
0.6153 0.2304 0.8456 O
0.1347 0.2696 0.4044 O
0.1349 0.2696 0.8653 O
0.0000 0.0000 0.0000 Ag
0.7500 0.5000 0.2500 Ag
```


Material: TlAgO3
Method: DFT, PBE-GGA
State: relaxed

Output
ρ	9.4	g/cm3
SG	No. 167
total DFT energy (no corrections)	-4.203	eV/atom

POSCAR file:
```
TlAgO3
1.0
2.8669 -1.6552 -4.4897
-2.8669 -1.6552 -4.4897
0.0000 3.3104 -4.4897
Ag O Tl
2 6 2
direct
0.0000 0.0000 0.0000 Ag
0.5000 0.5000 0.5000 Ag
0.2500 0.6297 0.8703 O
0.6297 0.8703 0.2500 O
0.3703 0.1297 0.7500 O
0.7500 0.3703 0.1297 O
0.8703 0.2500 0.6297 O
0.1297 0.7500 0.3703 O
0.7500 0.7500 0.7500 Tl
0.2500 0.2500 0.2500 Tl
```


Material: ZrTlAg3O4
Method: DFT, PBE-GGA
State: relaxed

Output
size of the total moment	0.00	μB/f.u.
ρ	6.2	g/cm3
SG	No. 215
total DFT energy (no corrections)	-5.307	eV/atom

POSCAR file:
```
ZrTlAg3O4
1.0
-2.3764 5.1014 0.6323
-1.6130 -0.0786 -5.4280
-4.8808 -2.4579 1.4860
Zr Tl Ag O
1 1 3 4
direct
0.5000 0.5000 0.5000 Zr
0.0000 0.0000 0.0000 Tl
0.5000 0.0000 0.5000 Ag
0.0000 0.5000 0.5000 Ag
0.5000 0.5000 0.0000 Ag
0.2925 0.7075 0.7075 O
0.7075 0.7075 0.2925 O
0.2925 0.2925 0.2925 O
0.7075 0.2925 0.7075 O
```


Question: total DFT energy (no corrections) of number 7 (TlAgO3)?
Answer: -4.203 eV/atom